No. 1
Density functional theory data (GGA-PBE) for SmErCdPt after structural relaxation.

Cell and atoms, written as extended XYZ:
```
4
Lattice="0.000 3.624 3.624 3.624 0.000 3.624 3.624 3.624 0.000" Properties=species:S:1:pos:R:3 pbc="T T T"
Sm 0.000 0.000 0.000
Er 3.624 3.624 3.624
Cd 5.436 5.436 5.436
Pt 1.812 1.812 1.812
```

Properties
**Uncorrected energy**: -19.0 eV for the cell shown
**Symmetry**: No. 216
**DOS at the Fermi energy**: 3.0 states/eV per cell



No. 2
Density functional theory data (GGA-PBE) for NdAg2Hg2 after structural relaxation.

Cell and atoms, written as extended XYZ:
```
5
Lattice="3.070 -4.370 0.000 3.070 4.370 0.000 -3.058 0.000 4.599" Properties=species:S:1:pos:R:3 pbc="T T T"
Nd 0.000 0.000 0.000
Ag 0.018 0.000 3.252
Ag 3.065 0.000 1.347
Hg 1.541 2.193 2.300
Hg 1.541 -2.193 2.300
```

Properties
**Uncorrected energy**: -11.7 eV for the cell shown
**Symmetry**: No. 12
**DOS at the Fermi energy**: 2.1 states/eV per cell



No. 3
Density functional theory data (GGA-PBE) for Ga4Pd3Pt4 after structural relaxation.

Cell and atoms, written as extended XYZ:
```
11
Lattice="-1.462 3.878 7.526 1.462 -3.878 7.526 1.462 3.878 -7.526" Properties=species:S:1:pos:R:3 pbc="T T T"
Ga 0.000 1.711 0.000
Ga 0.000 0.000 3.609
Ga 0.000 0.000 11.443
Ga 0.000 6.045 0.000
Pd 1.462 0.000 1.430
Pd 0.000 0.000 7.526
Pd 0.000 3.878 6.097
Pt 1.462 -1.515 5.098
Pt 0.000 2.363 2.429
Pt 1.462 1.515 5.098
Pt 0.000 5.394 2.429
```

Properties
**Uncorrected energy**: -57.5 eV for the cell shown
**Symmetry**: No. 71
**DOS at the Fermi energy**: 4.6 states/eV per cell



No. 4
Density functional theory data (GGA-PBE) for TiCo2PI after structural relaxation.

Cell and atoms, written as extended XYZ:
```
5
Lattice="4.518 0.000 0.000 0.000 4.518 0.000 0.000 0.000 5.132" Properties=species:S:1:pos:R:3 pbc="T T T"
Ti 0.000 0.000 0.000
Co 0.000 2.259 2.566
Co 2.259 0.000 2.566
P 2.259 2.259 0.000
I 0.000 0.000 2.566
```

Properties
**Symmetry**: No. 123
**DOS at the Fermi energy**: 9.7 states/eV per cell
**Formation energy (no corrections)**: 1.3288 eV/atom
**Energy relative to the lowest polymorph listed for this composition**: 0.687 eV/atom



No. 5
Density functional theory data (GGA-PBE) for MoAs2Ir after structural relaxation.

Cell and atoms, written as extended XYZ:
```
4
Lattice="4.266 -1.667 0.000 4.266 1.667 0.000 -1.354 0.000 4.611" Properties=species:S:1:pos:R:3 pbc="T T T"
Mo 0.000 0.000 0.000
As 1.056 0.000 4.597
As 3.641 0.000 2.706
Ir 6.085 0.000 1.846
```

Properties
**Symmetry**: No. 8
**DOS at the Fermi energy**: 2.6 states/eV per cell
**Energy relative to the lowest polymorph listed for this composition**: 0.007 eV/atom



No. 6
Density functional theory data (GGA-PBE) for Cs3Tb2O4 after structural relaxation.

Cell and atoms, written as extended XYZ:
```
9
Lattice="8.393 -2.041 0.000 8.393 2.041 0.000 -8.281 0.000 10.194" Properties=species:S:1:pos:R:3 pbc="T T T"
Cs 0.000 0.000 0.000
Cs 2.853 0.000 2.701
Cs 5.651 0.000 7.494
Tb 0.515 0.000 6.371
Tb 7.989 0.000 3.823
O -0.864 0.000 4.627
O -0.771 0.000 7.985
O 9.275 0.000 2.209
O 9.368 0.000 5.568
```

Properties
**Symmetry**: No. 12
**DOS at the Fermi energy**: 2.2 states/eV per cell
**Formation energy (no corrections)**: -2.1323 eV/atom



No. 7
Density functional theory data (GGA-PBE) for Ca2ZnInCu6 after structural relaxation.

Cell and atoms, written as extended XYZ:
```
10
Lattice="0.000 4.727 4.727 4.727 0.000 4.727 4.727 4.727 0.000" Properties=species:S:1:pos:R:3 pbc="T T T"
Ca 2.364 2.364 2.364
Ca 7.091 7.091 7.091
Zn 0.000 0.000 0.000
In 4.727 4.727 4.727
Cu 4.727 4.727 2.261
Cu 4.727 2.261 4.727
Cu 7.193 4.727 4.727
Cu 2.261 4.727 4.727
Cu 4.727 7.193 4.727
Cu 4.727 4.727 7.193
```

Properties
**Uncorrected energy**: -30.1 eV for the cell shown
**Symmetry**: No. 225
**DOS at the Fermi energy**: 3.7 states/eV per cell



No. 8
Density functional theory data (GGA-PBE) for VCo4Ir after structural relaxation.

Cell and atoms, written as extended XYZ:
```
6
Lattice="4.030 0.000 0.000 -2.015 3.490 0.000 0.000 0.000 5.050" Properties=species:S:1:pos:R:3 pbc="T T T"
V 0.000 0.000 0.000
Co 0.000 2.327 1.247
Co 0.000 2.327 3.803
Co 2.015 1.163 1.247
Co 2.015 1.163 3.803
Ir 0.000 0.000 2.525
```

Properties
**Symmetry**: No. 191
**DOS at the Fermi energy**: 5.9 states/eV per cell
**Energy relative to the lowest polymorph listed for this composition**: 0.000 eV/atom



No. 9
Density functional theory data (GGA-PBE) for SnHgPb4 after structural relaxation.

Cell and atoms, written as extended XYZ:
```
6
Lattice="0.000 4.598 4.598 4.598 0.000 4.598 4.598 4.598 0.000" Properties=species:S:1:pos:R:3 pbc="T T T"
Sn 0.000 0.000 0.000
Hg 6.897 6.897 6.897
Pb 3.447 3.447 3.447
Pb 5.749 5.749 3.447
Pb 5.749 3.447 5.749
Pb 3.447 5.749 5.749
```

Properties
**Symmetry**: No. 216
**DOS at the Fermi energy**: 1.9 states/eV per cell
**Energy relative to the lowest polymorph listed for this composition**: 0.154 eV/atom



No. 10
Density functional theory data (GGA-PBE) for CuPtAu2 after structural relaxation.

Cell and atoms, written as extended XYZ:
```
4
Lattice="0.000 3.186 3.186 3.186 0.000 3.186 3.186 3.186 0.000" Properties=species:S:1:pos:R:3 pbc="T T T"
Cu 0.000 0.000 0.000
Pt 4.780 4.780 4.780
Au 1.593 1.593 1.593
Au 3.186 3.186 3.186
```

Properties
**Symmetry**: No. 216
**DOS at the Fermi energy**: 2.0 states/eV per cell
**Energy relative to the lowest polymorph listed for this composition**: 0.091 eV/atom



No. 11
Density functional theory data (GGA-PBE) for Nd2Zn3Cu after structural relaxation.

Cell and atoms, written as extended XYZ:
```
6
Lattice="3.641 0.000 0.000 0.000 4.507 0.000 0.000 0.000 7.839" Properties=species:S:1:pos:R:3 pbc="T T T"
Nd 0.000 0.000 0.000
Nd 0.000 2.253 3.789
Zn 1.820 0.000 5.149
Zn 1.820 2.253 1.234
Zn 1.820 2.253 6.442
Cu 1.820 0.000 2.557
```

Properties
**Uncorrected energy**: -19.3 eV for the cell shown
**Symmetry**: No. 25
**DOS at the Fermi energy**: 5.3 states/eV per cell



No. 12
Density functional theory data (GGA-PBE) for Ba2TlBi3Rh4 after structural relaxation.

Cell and atoms, written as extended XYZ:
```
10
Lattice="4.839 0.000 0.000 0.000 4.839 0.000 0.000 0.000 10.890" Properties=species:S:1:pos:R:3 pbc="T T T"
Ba 0.000 2.419 2.679
Ba 2.419 0.000 8.212
Tl 0.000 0.000 5.445
Bi 0.000 2.419 9.560
Bi 2.419 0.000 1.331
Bi 2.419 2.419 5.445
Rh 0.000 0.000 0.000
Rh 0.000 2.419 6.830
Rh 2.419 0.000 4.060
Rh 2.419 2.419 0.000
```

Properties
**Uncorrected energy**: -51.1 eV for the cell shown
**Symmetry**: No. 115
**DOS at the Fermi energy**: 9.7 states/eV per cell



- The lowest DOS at the Fermi energy belongs to which entry?
  SnHgPb4